# 1
DyNp (PBE, relaxed); total magnetization = 3.81 μB/cell; volume = 55 Å³ per cell; energy above the most stable polymorph in this dataset = 1.951 eV/atom; DFT formation energy = 2.419 eV/atom
1.0
0.000 3.016 3.016
3.016 0.000 3.016
3.016 3.016 0.000
Dy Np
1 1
Cartesian
0.000 0.000 0.000 Dy
1.508 1.508 1.508 Np

# 2
DyNpOs (PBE, relaxed); total magnetization = 3.81 μB/cell; volume = 73 Å³ per cell; energy above the most stable polymorph in this dataset = 0.000 eV/atom; DFT formation energy = 0.164 eV/atom
1.0
0.000 3.312 3.312
3.312 0.000 3.312
3.312 3.312 0.000
Dy Np Os
1 1 1
Cartesian
1.656 1.656 1.656 Dy
4.968 4.968 4.968 Np
0.000 0.000 0.000 Os

# 3
RbDyNp (PBE, relaxed); total magnetization = 7.47 μB/cell; volume = 137 Å³ per cell; energy above the most stable polymorph in this dataset = 0.000 eV/atom
1.0
0.000 4.091 4.091
4.091 0.000 4.091
4.091 4.091 0.000
Dy Np Rb
1 1 1
Cartesian
0.000 0.000 0.000 Dy
2.045 2.045 2.045 Np
6.136 6.136 6.136 Rb

# 4
DyNpRe (PBE, relaxed); total magnetization = 3.25 μB/cell; volume = 75 Å³ per cell; energy above the most stable polymorph in this dataset = 0.000 eV/atom; DFT formation energy = 0.505 eV/atom
1.0
4.035 0.078 2.467
0.092 1.916 4.324
0.500 -2.767 3.803
Dy Np Re
1 1 1
Cartesian
0.000 0.000 0.000 Dy
2.313 -0.387 5.297 Np
1.157 -0.193 2.649 Re

# 5
DyNpSi (PBE, relaxed); total magnetization = 5.24 μB/cell; volume = 79 Å³ per cell; energy above the most stable polymorph in this dataset = 0.000 eV/atom
1.0
0.000 3.406 3.406
3.406 0.000 3.406
3.406 3.406 0.000
Dy Np Si
1 1 1
Cartesian
1.703 1.703 1.703 Dy
5.108 5.108 5.108 Np
0.000 0.000 0.000 Si

# 6
SmDyNp (PBE, relaxed); total magnetization = 5.58 μB/cell; volume = 101 Å³ per cell; DFT formation energy = 1.167 eV/atom
1.0
0.000 3.694 3.694
3.694 0.000 3.694
3.694 3.694 0.000
Dy Np Sm
1 1 1
Cartesian
1.847 1.847 1.847 Dy
5.540 5.540 5.540 Np
0.000 0.000 0.000 Sm

# 7
DyNpTa (PBE, relaxed); total magnetization = 3.27 μB/cell; volume = 75 Å³ per cell; DFT formation energy = 1.529 eV/atom
1.0
0.000 3.347 3.347
3.347 0.000 3.347
3.347 3.347 0.000
Dy Np Ta
1 1 1
Cartesian
0.000 0.000 0.000 Dy
1.674 1.674 1.674 Np
5.021 5.021 5.021 Ta

# 8
TbDyNp (PBE, relaxed); total magnetization = 5.14 μB/cell; volume = 103 Å³ per cell; DFT formation energy = 1.174 eV/atom
1.0
2.932 -2.386 3.656
1.133 2.484 4.494
-2.195 -1.588 4.507
Dy Np Tb
1 1 1
Cartesian
0.000 0.000 0.000 Dy
0.467 -0.372 3.164 Np
1.402 -1.117 9.493 Tb

# 9
DyNpTe6 (PBE, relaxed); VASP energy = -5.27 eV per atom; total magnetization = 3.62 μB/cell; volume = 247 Å³ per cell
1.0
4.359 0.000 0.000
0.000 2.178 13.033
0.000 -2.178 13.033
Dy Np Te
1 1 6
Cartesian
2.179 0.000 17.458 Dy
0.000 0.000 8.610 Np
2.179 0.000 1.986 Te
0.000 0.000 5.382 Te
2.179 0.000 11.025 Te
0.000 0.000 15.015 Te
2.179 0.000 20.726 Te
0.000 0.000 24.057 Te

# 10
DyTmNp (PBE, relaxed); total magnetization = 5.16 μB/cell; volume = 104 Å³ per cell; energy above the most stable polymorph in this dataset = 0.000 eV/atom; DFT formation energy = 1.153 eV/atom
1.0
3.037 -3.754 -2.131
-2.164 -4.517 -1.665
-0.313 -1.030 -5.167
Dy Np Tm
1 1 1
Cartesian
0.140 -2.325 -2.241 Dy
0.420 -6.975 -6.722 Np
0.000 0.000 0.000 Tm

# 11
DyNpU (PBE, relaxed); total magnetization = 7.94 μB/cell; volume = 84 Å³ per cell; energy above the most stable polymorph in this dataset = 0.000 eV/atom; DFT formation energy = 1.142 eV/atom
1.0
3.157 -3.646 0.918
-0.198 -2.400 4.278
-1.586 -4.644 0.138
Dy Np U
1 1 1
Cartesian
0.000 0.000 0.000 Dy
0.686 -5.345 2.667 Np
0.343 -2.672 1.334 U

# 12
DyNpW (PBE, relaxed); total magnetization = 3.13 μB/cell; volume = 77 Å³ per cell; energy above the most stable polymorph in this dataset = 0.000 eV/atom; DFT formation energy = 0.912 eV/atom
1.0
0.000 3.375 3.375
3.375 0.000 3.375
3.375 3.375 0.000
Dy Np W
1 1 1
Cartesian
5.062 5.062 5.062 Dy
1.687 1.687 1.687 Np
0.000 0.000 0.000 W

# 13
DyYNp (PBE, relaxed); total magnetization = 5.70 μB/cell; volume = 104 Å³ per cell; DFT formation energy = 1.209 eV/atom
1.0
-0.638 -2.124 4.795
-4.766 -1.691 1.527
-0.933 -5.176 0.493
Dy Np Y
1 1 1
Cartesian
0.000 0.000 0.000 Dy
-3.168 -4.496 3.408 Np
-4.753 -6.744 5.111 Y

# 14
DyO (PBE, relaxed); VASP energy = -7.49 eV per atom; total magnetization = 0.92 μB/cell; volume = 36 Å³ per cell
1.0
0.980 -3.195 1.637
-2.614 -2.265 1.375
-0.718 -3.245 -1.674
Dy O
1 1
Cartesian
0.000 0.000 0.000 Dy
-0.588 -2.176 0.334 O

# 15
DyO (PBE, relaxed); VASP energy = -7.32 eV per atom; total magnetization = 0.46 μB/cell; volume = 28 Å³ per cell
1.0
-0.122 -0.437 -3.208
2.812 -0.333 1.575
-0.603 -3.027 0.435
Dy O
1 1
Cartesian
0.404 -2.673 -1.287 Dy
1.683 -1.125 0.089 O

# 16
DyO (PBE, relaxed); VASP energy = -7.38 eV per atom; total magnetization = 1.79 μB/cell; volume = 73 Å³ per cell
1.0
1.868 -3.235 0.000
1.868 3.235 0.000
0.000 0.000 6.002
Dy O
2 2
Cartesian
0.000 0.000 0.011 Dy
1.868 1.078 3.012 Dy
0.000 0.000 2.240 O
1.868 1.078 5.241 O

# 17
Dy6OsO12 (PBE, relaxed); VASP energy = -8.24 eV per atom; total magnetization = 2.00 μB/cell; volume = 255 Å³ per cell
1.0
1.407 0.069 6.270
3.455 -5.141 -1.713
4.054 4.588 -1.954
Dy O Os
6 12 1
Cartesian
2.525 -0.910 3.015 Dy
3.585 -1.695 -0.759 Dy
5.499 -2.572 2.078 Dy
3.416 2.087 0.525 Dy
5.330 1.210 3.362 Dy
6.390 0.426 -0.412 Dy
4.333 -4.559 2.745 O
2.681 -1.132 5.398 O
3.365 -2.185 1.364 O
4.644 -3.589 -1.780 O
4.778 -0.970 3.384 O
3.200 1.118 2.543 O
5.715 -1.602 0.061 O
4.137 0.485 -0.781 O
4.271 3.104 4.383 O
5.550 1.700 1.240 O
6.234 0.648 -2.795 O
4.582 4.074 -0.142 O
0.000 0.000 0.000 Os

# 18
DyPO4 (PBE, relaxed); VASP energy = -7.96 eV per atom; total magnetization = 0.00 μB/cell; volume = 269 Å³ per cell
1.0
-4.036 -4.040 2.578
3.377 -5.146 -2.777
6.679 2.621 3.267
Dy O P
4 16 4
Cartesian
-0.639 -4.499 1.844 Dy
3.983 -4.386 -0.955 Dy
2.038 -2.180 4.022 Dy
6.660 -2.066 1.223 Dy
0.135 -3.385 -0.130 O
0.831 -1.006 0.231 O
1.824 -5.401 -0.785 O
2.621 -2.651 -0.118 O
-1.625 -2.657 2.937 O
1.143 -2.911 1.983 O
1.249 -5.953 1.697 O
3.559 -6.033 0.731 O
2.462 -0.532 2.336 O
4.771 -0.612 1.370 O
4.878 -3.654 1.084 O
7.646 -3.908 0.130 O
3.399 -3.914 3.185 O
4.196 -1.164 3.851 O
5.190 -5.559 2.836 O
5.886 -3.180 3.197 O
1.219 -2.487 0.506 P
2.071 -6.316 0.427 P
3.950 -0.249 2.640 P
4.802 -4.079 2.561 P

# 19
DyPO4 (PBE, relaxed); VASP energy = -7.92 eV per atom; total magnetization = 0.01 μB/cell; volume = 156 Å³ per cell
1.0
2.687 -3.991 0.000
2.687 3.991 0.000
0.000 0.000 7.258
Dy O P
2 8 2
Cartesian
0.000 0.000 0.000 Dy
0.000 0.000 3.629 Dy
2.687 1.831 0.512 O
1.400 0.142 1.814 O
3.974 0.142 1.814 O
2.687 1.831 3.117 O
2.687 -1.831 4.141 O
1.400 -0.142 5.443 O
3.974 -0.142 5.443 O
2.687 -1.831 6.746 O
2.687 1.035 1.814 P
2.687 -1.035 5.443 P

# 20
Dy3P2O (PBE, relaxed); VASP energy = -6.88 eV per atom; total magnetization = 0.01 μB/cell; volume = 117 Å³ per cell
1.0
3.823 0.000 0.000
-1.912 3.311 0.000
0.000 0.000 9.254
Dy O P
3 1 2
Cartesian
0.000 0.000 0.000 Dy
1.912 1.104 3.268 Dy
0.000 2.207 5.986 Dy
0.000 0.000 4.627 O
0.000 2.207 1.683 P
1.912 1.104 7.571 P

# 21
DyP3O9 (PBE, relaxed); VASP energy = -7.55 eV per atom; total magnetization = 0.01 μB/cell; volume = 363 Å³ per cell
1.0
0.000 6.659 0.000
6.994 3.330 -0.013
-0.898 -3.330 -7.788
Dy O P
2 18 6
Cartesian
2.247 4.841 -1.886 Dy
5.295 1.818 -5.787 Dy
2.973 3.704 -0.117 O
0.485 5.462 -0.692 O
5.002 8.374 -1.031 O
3.913 6.154 -1.166 O
5.969 3.919 -1.674 O
1.143 3.152 -2.870 O
1.825 -0.033 -3.139 O
3.905 4.091 -3.174 O
5.941 5.458 -3.593 O
6.021 2.955 -4.018 O
3.533 1.197 -4.593 O
1.056 1.614 -4.918 O
-0.033 3.834 -5.053 O
2.023 -0.589 -5.561 O
4.191 3.507 -6.770 O
4.873 0.033 -7.040 O
-0.041 -0.761 -7.061 O
1.995 4.531 -7.480 O
4.277 7.211 -0.186 P
6.132 2.767 -0.573 P
5.398 4.020 -3.169 P
0.331 2.777 -4.074 P
2.187 0.562 -4.461 P
1.452 -0.690 -7.056 P

# 22
DyPO4 (PBE, relaxed); VASP energy = -7.91 eV per atom; total magnetization = 0.00 μB/cell; volume = 316 Å³ per cell
1.0
-0.435 1.559 -4.378
-0.686 -6.943 -2.404
-9.099 0.521 1.090
Dy O P
4 16 4
Cartesian
0.000 0.000 0.000 Dy
-0.343 -3.471 -1.202 Dy
-4.767 1.040 -1.644 Dy
-5.110 -2.431 -2.846 Dy
-1.380 0.152 -1.718 O
-1.621 -2.294 -2.565 O
-1.757 -0.363 -4.113 O
-2.275 -3.592 -5.964 O
-3.601 -0.792 -2.347 O
-3.988 -4.493 -2.874 O
-4.165 -2.412 -4.843 O
-4.407 -4.858 -5.690 O
-5.813 -0.004 -0.003 O
-6.055 -2.450 -0.850 O
-6.232 -0.369 -2.819 O
-6.618 -4.070 -3.346 O
-7.945 -1.270 0.272 O
-8.463 -4.499 -1.580 O
-8.598 -2.568 -3.127 O
-8.840 -5.015 -3.975 O
-2.069 -0.835 -2.660 P
-3.397 -5.017 -1.529 P
-6.823 0.155 -4.164 P
-8.150 -4.027 -3.033 P

# 23
DyPPbO (PBE, relaxed); total magnetization = 0.00 μB/cell; volume = 205 Å³ per cell; energy above the most stable polymorph in this dataset = 0.076 eV/atom
1.0
-3.488 1.031 3.014
-1.370 -6.717 0.713
4.063 -0.318 4.810
Dy O P Pb
2 2 2 2
Cartesian
-2.791 -5.249 2.267 Dy
0.218 -0.615 4.164 Dy
-1.433 -5.463 3.912 O
1.619 -0.618 5.786 O
1.220 -2.147 2.146 P
2.705 -4.985 4.836 P
0.867 -4.870 2.669 Pb
3.456 -2.293 4.783 Pb

# 24
DyPPbO (PBE, relaxed); total magnetization = 0.04 μB/cell; volume = 169 Å³ per cell; energy above the most stable polymorph in this dataset = 0.090 eV/atom
1.0
-2.565 -3.405 -0.090
1.827 -1.280 -3.633
6.251 -4.837 4.848
Dy O P Pb
2 2 2 2
Cartesian
0.417 -1.637 -0.464 Dy
5.096 -7.885 1.589 Dy
-1.467 -2.874 -0.976 O
0.729 -1.811 -2.748 O
1.131 -4.817 -1.487 P
4.382 -4.705 2.611 P
1.659 -5.292 1.448 Pb
3.855 -4.230 -0.324 Pb

# 25
DyPPbO (PBE, relaxed); total magnetization = 0.00 μB/cell; volume = 181 Å³ per cell; energy above the most stable polymorph in this dataset = 0.635 eV/atom
1.0
4.650 0.000 0.000
0.000 4.650 0.000
0.000 0.000 8.357
Dy O P Pb
2 2 2 2
Cartesian
0.000 0.000 4.179 Dy
2.325 2.325 4.179 Dy
0.000 0.000 0.000 O
2.325 2.325 0.000 O
2.325 0.000 2.791 P
0.000 2.325 5.566 P
0.000 2.325 0.841 Pb
2.325 0.000 7.517 Pb